# 1
Compound: LaSc2BS
Source: Alexandria via LeMat-Bulk
Functional: meta-GGA SCAN
Structure: PBEsol geometry

```
LaSc2BS
1.0
-1.3355 -4.0130 0.2357
4.9308 -1.5901 0.8664
-0.7323 0.5475 5.1726
Sc B La S
2 1 1 1
direct
0.0000 0.0000 0.5000
0.0000 0.5000 0.0000
0.5000 0.0000 0.0000
0.0000 0.0000 0.0000
0.5000 0.5000 0.5000
```

**SG**: P4/mmm
**D(E_F)**: 2.22 states/eV/cell
**Formation energy without anion corrections**: 1.219 eV/atom


# 2
Compound: LaBSb3
Source: Alexandria via LeMat-Bulk
Functional: meta-GGA SCAN
Structure: PBEsol geometry

```
LaBSb3
1.0
-3.7453 4.1215 1.9853
-4.3410 -4.0115 0.1385
1.4435 -1.3699 5.5673
B Sb La
1 3 1
direct
0.5000 0.5000 0.5000
0.0000 0.5000 0.0000
0.0000 0.0000 0.5000
0.5000 0.0000 0.0000
0.0000 0.0000 0.0000
```

**SG**: Pm-3m
**D(E_F)**: 3.92 states/eV/cell
**Formation energy without anion corrections**: 1.558 eV/atom


# 3
Compound: La2BSe
Source: Alexandria via LeMat-Bulk
Functional: meta-GGA SCAN
Structure: PBEsol geometry

```
La2BSe
1.0
6.4361 0.0693 -0.1140
-2.3161 6.0053 0.1140
2.3161 2.8636 5.2798
Se La B
2 4 2
direct
0.5000 0.2500 0.2500
0.0000 0.0000 0.0000
0.5459 0.4209 0.6250
0.9541 0.1250 0.4209
0.0459 0.6250 0.8291
0.4541 0.8291 0.1250
0.0000 0.5000 0.5000
0.5000 0.7500 0.7500
```

**SG**: I-42d
**D(E_F)**: 7.07 states/eV/cell
**Formation energy without anion corrections**: -0.770 eV/atom


# 4
Compound: LaB3Se
Source: Alexandria via LeMat-Bulk
Functional: meta-GGA SCAN
Structure: PBEsol geometry

```
LaB3Se
1.0
4.7888 0.0000 0.0000
0.0000 4.7888 0.0000
0.0000 0.0000 4.7888
B La Se
3 1 1
direct
0.0000 0.5000 0.0000
0.0000 0.0000 0.5000
0.5000 0.0000 0.0000
0.0000 0.0000 0.0000
0.5000 0.5000 0.5000
```

**SG**: Pm-3m
**D(E_F)**: 3.60 states/eV/cell
**Formation energy without anion corrections**: 2.501 eV/atom


# 5
Compound: LaSiB3
Source: Alexandria via LeMat-Bulk
Functional: meta-GGA SCAN
Structure: PBEsol geometry

```
LaSiB3
1.0
4.6482 0.0000 0.0000
0.0000 4.6482 0.0000
0.0000 0.0000 4.6482
B La Si
3 1 1
direct
0.5000 0.0000 0.0000
0.0000 0.5000 0.0000
0.0000 0.0000 0.5000
0.0000 0.0000 0.0000
0.5000 0.5000 0.5000
```

**SG**: Pm-3m
**D(E_F)**: 2.32 states/eV/cell
**Formation energy without anion corrections**: 2.676 eV/atom


# 6
Compound: LaSm3B24
Source: Alexandria via LeMat-Bulk
Functional: meta-GGA SCAN
Structure: PBEsol geometry

```
LaSm3B24
1.0
-2.5932 -5.1241 0.4514
6.2981 -3.0610 1.4346
-3.1201 2.1141 6.0737
B Sm La
24 3 1
direct
0.6516 0.1760 0.3251
0.3484 0.8240 0.6749
0.0000 0.1501 0.6506
0.6516 0.6749 0.8240
0.8483 0.5743 0.9252
0.3484 0.6749 0.8240
0.5000 0.4007 0.4007
0.8483 0.9252 0.5743
0.8483 0.0748 0.4257
0.3484 0.3251 0.1760
0.0000 0.6506 0.1501
0.3484 0.1760 0.3251
0.6516 0.8240 0.6749
0.0000 0.8499 0.3494
0.5000 0.5993 0.5993
0.1517 0.5743 0.9252
0.0000 0.3494 0.8499
0.1517 0.9252 0.5743
0.6516 0.3251 0.1760
0.5000 0.1002 0.1002
0.1517 0.0748 0.4257
0.1517 0.4257 0.0748
0.8483 0.4257 0.0748
0.5000 0.8998 0.8998
0.0000 0.5000 0.5000
0.5000 0.2533 0.7467
0.5000 0.7467 0.2533
0.0000 0.0000 0.0000
```

**SG**: Cmmm
**Formation energy**: -0.55 eV/atom
**D(E_F)**: 3.27 states/eV/cell


# 7
Compound: LaSnB2
Source: Alexandria via LeMat-Bulk
Functional: meta-GGA SCAN
Structure: PBEsol geometry

```
LaSnB2
1.0
4.6742 0.0000 0.0000
0.0000 4.6742 0.0000
-2.3371 -2.3371 7.1757
Sn B La
2 4 2
direct
0.7500 0.2500 0.5000
0.5000 0.5000 0.0000
0.1250 0.2601 0.7500
0.7399 0.3750 0.2500
0.5101 0.8750 0.2500
0.6250 0.4899 0.7500
0.0000 0.0000 0.0000
0.2500 0.7500 0.5000
```

**SG**: I-42d
**Formation energy**: 0.52 eV/atom
**D(E_F)**: 1.68 states/eV/cell


# 8
Compound: SrLaB3
Source: Alexandria via LeMat-Bulk
Functional: meta-GGA SCAN
Structure: PBEsol geometry

```
SrLaB3
1.0
-1.4941 -4.5117 -0.3281
1.7395 -0.2541 -4.4277
4.1757 -1.5084 1.7271
B La Sr
3 1 1
direct
0.0000 0.0000 0.5000
0.0000 0.5000 0.0000
0.5000 0.0000 0.0000
0.0000 0.0000 0.0000
0.5000 0.5000 0.5000
```

**SG**: Pm-3m
**Formation energy**: 1.52 eV/atom
**D(E_F)**: 3.77 states/eV/cell


Results for VASP energy: -16.509, -30.906, -29.199, -14.594, -12.406, -13.219, -22.948, -16.009 (in eV per atom, following the order of the records).
Results for V: 116.9, 206.7, 205.2, 109.8, 100.4, 276.7, 156.8, 108.1 (in Å³/cell, following the order of the records).